(1)
## Al2InBr8 (PBE)

Data for a relaxed structure of Al2InBr8.

Cell: 9.375 9.375 9.436 Å, 89.88 59.99 119.64°
Sites, in units of the cell vectors:
Br (0.302, 0.447, 0.849)
Br (0.701, 0.149, 0.151)
Br (0.704, 0.850, 0.849)
Br (0.297, 0.151, 0.553)
Br (0.299, 0.851, 0.849)
Br (0.703, 0.849, 0.447)
Br (0.296, 0.150, 0.151)
Br (0.698, 0.553, 0.151)
In (0.000, 0.000, 0.000)
Al (0.502, 0.750, 0.749)
Al (0.498, 0.250, 0.251)

Properties
- Volume: 53.54 Å³/atom



(2)
## AlIn2Br (PBE)

Data for a relaxed structure of AlIn2Br.

Cell: 3.578 3.578 8.280 Å, 90.00 90.00 101.63°
Sites, in units of the cell vectors:
Br (0.500, 0.500, 0.750)
In (0.000, 0.000, 0.477)
In (0.000, 0.000, 0.023)
Al (0.500, 0.500, 0.250)

Properties
- Volume: 25.95 Å³/atom



(3)
## AlInBr4 (PBE)

Data for a relaxed structure of AlInBr4.

Cell: 5.520 7.461 13.825 Å, 104.84 90.00 111.71°
Sites, in units of the cell vectors:
Al (0.089, 0.178, 0.736)
Al (0.911, 0.822, 0.264)
Br (0.930, 0.860, 0.625)
Br (0.109, 0.218, 0.907)
Br (0.594, 0.187, 0.729)
Br (0.891, 0.782, 0.093)
Br (0.238, 0.476, 0.685)
Br (0.406, 0.813, 0.271)
Br (0.070, 0.140, 0.375)
Br (0.762, 0.524, 0.315)
In (0.179, 0.358, 0.187)
In (0.821, 0.642, 0.813)

Properties
- Volume: 42.38 Å³/atom



(4)
## AlIn2Br (PBE)

Data for a relaxed structure of AlIn2Br.

Cell: 3.651 4.643 6.361 Å, 90.00 90.00 90.00°
Sites, in units of the cell vectors:
Al (0.500, 0.500, 0.250)
Br (0.500, 0.500, 0.750)
In (0.000, 0.000, 0.009)
In (0.000, 0.000, 0.491)

Properties
- Volume: 26.96 Å³/atom



(5)
## AlIn2Br (PBE)

Data for a relaxed structure of AlIn2Br.

Cell: 6.968 6.968 4.966 Å, 69.32 69.32 28.25°
Sites, in units of the cell vectors:
In (0.052, 0.052, 0.949)
In (0.448, 0.448, 0.551)
Al (0.750, 0.750, 0.750)
Br (0.250, 0.250, 0.250)

Properties
- Volume: 26.57 Å³/atom



(6)
## AlInBr (PBE)

Data for a relaxed structure of AlInBr.

Cell: 5.134 5.134 3.428 Å, 90.00 90.00 120.00°
Sites, in units of the cell vectors:
In (0.333, 0.667, 0.668)
Al (0.000, 0.000, 0.167)
Br (0.667, 0.333, 0.165)

Properties
- Volume: 26.08 Å³/atom



no.,density of states at the Fermi level (states/eV/f.u.),uncorrected formation energy (eV per formula unit)
1,12.94,-9.3
2,2.04,-0.1
3,0.00,-5.4
4,1.49,0.1
5,1.65,-0.1
6,0.67,0.1